SrNiMo, relaxed, DFT PBE-GGA; uncorrected energy = -4.93 eV per atom; energy relative to the lowest polymorph listed for this composition = 0.0000 eV/atom
1.0
0.000 3.305 3.305
3.305 0.000 3.305
3.305 3.305 0.000
Sr Ni Mo
1 1 1
direct
0.000 0.000 0.000
0.750 0.750 0.750
0.500 0.500 0.500

***

Sr2Ni2Mo3, relaxed, DFT PBE-GGA; uncorrected energy = -6.27 eV per atom
1.0
2.208 1.275 8.702
-2.208 1.275 8.702
0.000 -2.549 8.702
Sr Ni Mo
2 2 3
direct
0.000 0.000 0.000
0.431 0.431 0.431
0.165 0.165 0.165
0.650 0.650 0.650
0.256 0.256 0.256
0.558 0.558 0.558
0.860 0.860 0.860

***

TaZnNiMo, relaxed, DFT PBE-GGA; uncorrected energy = -7.23 eV per atom; energy relative to the lowest polymorph listed for this composition = 0.0000 eV/atom
1.0
0.000 3.098 3.098
3.098 0.000 3.098
3.098 3.098 0.000
Ta Zn Ni Mo
1 1 1 1
direct
0.000 0.000 0.000
0.500 0.500 0.500
0.750 0.750 0.750
0.250 0.250 0.250

***

TbNiMo, relaxed, DFT PBE-GGA; uncorrected energy = -6.49 eV per atom
1.0
0.000 3.103 3.103
3.103 0.000 3.103
3.103 3.103 0.000
Tb Ni Mo
1 1 1
direct
0.000 0.000 0.000
0.750 0.750 0.750
0.500 0.500 0.500

***

TlTcNiMo, relaxed, DFT PBE-GGA; uncorrected energy = -6.77 eV per atom; energy relative to the lowest polymorph listed for this composition = 0.0000 eV/atom
1.0
0.000 3.166 3.166
3.166 0.000 3.166
3.166 3.166 0.000
Tl Tc Ni Mo
1 1 1 1
direct
0.000 0.000 0.000
0.750 0.750 0.750
0.250 0.250 0.250
0.500 0.500 0.500

***

ThNiMo, relaxed, DFT PBE-GGA; uncorrected energy = -7.50 eV per atom
1.0
0.000 3.153 3.153
3.153 0.000 3.153
3.153 3.153 0.000
Th Ni Mo
1 1 1
direct
0.000 0.000 0.000
0.250 0.250 0.250
0.500 0.500 0.500